Compound: Tl4CdAu5
Source: Alexandria via LeMat-Bulk
Functional: PBE
Structure: optimized geometry

Cell and atoms, written as POSCAR:
```
Tl4CdAu5
1.0
5.792 0.000 0.000
2.389 6.019 0.000
2.748 0.663 6.926
Tl Cd Au
4 1 5
Direct
0.000 0.000 0.000
0.023 0.524 0.731
0.266 0.322 0.173
0.680 0.171 0.603
0.702 0.739 0.393
0.192 0.772 0.351
0.236 0.073 0.569
0.452 0.609 0.794
0.570 0.874 0.994
0.716 0.421 0.185
```

The value obtained for the raw total energy is -2.70 eV/atom. Its mass density is 13.2 g/cm³. Its energy relative to the elements is -2.2 kJ/mol of atoms.